(1)
LiEuAs: relaxed, PBE-GGA.

CIF file:
```
data_LiEuAs
_chemical_formula_sum 'Li1 Eu1 As1'
_cell_length_a 4.3347
_cell_length_b 4.3347
_cell_length_c 4.1902
_cell_angle_alpha 90.00
_cell_angle_beta 90.00
_cell_angle_gamma 120.00
_symmetry_space_group_name_H-M 'P -6 m 2'
_symmetry_Int_Tables_number 187
_symmetry_space_group_name_Hall 'P -6 2'
loop_
_atom_site_label
_atom_site_fract_x
_atom_site_fract_y
_atom_site_fract_z
Li1 0.0000 0.0000 0.0000
Eu1 0.6667 0.3333 0.5000
As1 0.3333 0.6667 0.0000
```

Values from the calculation:
N(E_F): 10.440 states/eV per cell
uncorrected energy: -6.5666 eV/atom
ΔE_f: -0.954 eV/atom

(2)
Te2RuCl: relaxed, PBE-GGA.

CIF file:
```
data_Te2RuCl
_chemical_formula_sum 'Te6 Ru3 Cl3'
_cell_length_a 3.8089
_cell_length_b 3.8089
_cell_length_c 23.0729
_cell_angle_alpha 90.00
_cell_angle_beta 90.00
_cell_angle_gamma 120.00
_symmetry_space_group_name_H-M 'R -3 m'
_symmetry_Int_Tables_number 166
_symmetry_space_group_name_Hall '-R 3 2"'
loop_
_atom_site_label
_atom_site_fract_x
_atom_site_fract_y
_atom_site_fract_z
Te1 0.0000 0.0000 0.2318
Ru1 0.0000 0.0000 0.5000
Cl1 0.0000 0.0000 0.0000
```

Values from the calculation:
N(E_F): 7.175 states/eV per cell
uncorrected energy: -4.5255 eV/atom
formation energy from raw total energies: -0.70 eV per formula unit

(3)
LaO: relaxed, PBE-GGA.

CIF file:
```
data_LaO
_chemical_formula_sum 'La8 O8'
_cell_length_a 9.8629
_cell_length_b 9.8629
_cell_length_c 4.0876
_cell_angle_alpha 90.00
_cell_angle_beta 90.00
_cell_angle_gamma 90.00
_symmetry_space_group_name_H-M 'I 4/m'
_symmetry_Int_Tables_number 87
_symmetry_space_group_name_Hall '-I 4'
loop_
_atom_site_label
_atom_site_fract_x
_atom_site_fract_y
_atom_site_fract_z
La1 0.0910 0.2767 0.0000
O1 0.1530 0.6978 0.0000
```

Values from the calculation:
N(E_F): 6.769 states/eV per cell
uncorrected energy: -7.7037 eV/atom
formation energy from raw total energies: -5.52 eV per formula unit